Below is crystalline Dy2LuOs at its relaxed geometry, with properties calculated at the GGA-PBE level.

The structure belongs to space group P4/mmm (No. 123); the cell edges are 3.3785, 3.3785 and 9.2518 Å and the angles 90.00°, 90.00° and 90.00°. The asymmetric unit holds Dy at (0.0000, 0.0000, 0.1809), Lu at (0.5000, 0.5000, 0.5000) and Os at (0.5000, 0.5000, 0.0000).

The total magnetization is 0.00 μB per cell. For the density of states at the Fermi level, the calculation gives 4.75 states/eV/cell. Its energy above the most stable polymorph in this dataset is 0 meV per atom. The value obtained for the energy of formation from the pure elements is -31 kJ/mol of formula units.

Below is crystalline DyLu2Os at its relaxed geometry, with properties calculated at the GGA-PBE level.

The structure belongs to space group P4/mmm (No. 123); the cell edges are 3.3527, 3.3527 and 8.9349 Å and the angles 90.00°, 90.00° and 90.00°. The asymmetric unit holds Dy at (0.0000, 0.0000, 0.0000), Lu at (0.5000, 0.5000, 0.3194) and Os at (0.0000, 0.0000, 0.5000).

The total magnetization is 0.00 μB per cell. For the density of states at the Fermi level, the calculation gives 3.12 states/eV/cell. Its energy above the most stable polymorph in this dataset is 0 meV per atom. The value obtained for the energy of formation from the pure elements is -77 kJ/mol of formula units.

Below is crystalline DyLu2Os at its relaxed geometry, with properties calculated at the GGA-PBE level.

The structure belongs to space group R-3m (No. 166, hexagonal axes); the cell edges are 3.3483, 3.3483 and 32.3692 Å and the angles 90.00°, 90.00° and 120.00°. The asymmetric unit holds Dy at (0.0000, 0.0000, 0.0000), Lu at (0.0000, 0.0000, 0.1047) and Os at (0.0000, 0.0000, 0.5000).

The total magnetization is 0.01 μB per cell. For the density of states at the Fermi level, the calculation gives 19.50 states/eV/cell. Its energy above the most stable polymorph in this dataset is 408 meV per atom. The value obtained for the energy of formation from the pure elements is 81 kJ/mol of formula units.

Below is crystalline Dy2LuOs at its relaxed geometry, with properties calculated at the GGA-PBE level.

The structure belongs to space group R-3m (No. 166, hexagonal axes); the cell edges are 3.4161, 3.4161 and 32.1783 Å and the angles 90.00°, 90.00° and 120.00°. The asymmetric unit holds Dy at (0.0000, 0.0000, 0.1041), Lu at (0.0000, 0.0000, 0.0000) and Os at (0.0000, 0.0000, 0.5000).

The total magnetization is 0.00 μB per cell. For the density of states at the Fermi level, the calculation gives 18.33 states/eV/cell. Its energy above the most stable polymorph in this dataset is 359 meV per atom. The value obtained for the energy of formation from the pure elements is 108 kJ/mol of formula units.

Below is crystalline DyLuOsPt at its relaxed geometry, with properties calculated at the GGA-PBE level.

The structure belongs to space group F-43m (No. 216); the cell edges are 6.8156, 6.8156 and 6.8156 Å and the angles 90.00°, 90.00° and 90.00°. The asymmetric unit holds Dy at (0.0000, 0.0000, 0.0000), Lu at (0.0000, 0.0000, 0.5000), Os at (0.2500, 0.2500, 0.2500) and Pt at (0.2500, 0.2500, 0.7500).

The total magnetization is 0.00 μB per cell. For the density of states at the Fermi level, the calculation gives 7.47 states/eV/cell. The value obtained for the energy of formation from the pure elements is -277 kJ/mol of formula units.

Below is crystalline DyLuOsRu at its relaxed geometry, with properties calculated at the GGA-PBE level.

The structure belongs to space group F-43m (No. 216); the cell edges are 6.7382, 6.7382 and 6.7382 Å and the angles 90.00°, 90.00° and 90.00°. The asymmetric unit holds Dy at (0.0000, 0.0000, 0.0000), Lu at (0.0000, 0.0000, 0.5000), Os at (0.2500, 0.2500, 0.2500) and Ru at (0.2500, 0.2500, 0.7500).

The total magnetization is 0.00 μB per cell. For the density of states at the Fermi level, the calculation gives 19.09 states/eV/cell. The value obtained for the energy of formation from the pure elements is -95 kJ/mol of formula units.

Below is crystalline DyLuTlOs at its relaxed geometry, with properties calculated at the GGA-PBE level.

The structure belongs to space group F-43m (No. 216); the cell edges are 7.0922, 7.0922 and 7.0922 Å and the angles 90.00°, 90.00° and 90.00°. The asymmetric unit holds Dy at (0.0000, 0.0000, 0.0000), Lu at (0.0000, 0.0000, 0.5000), Tl at (0.2500, 0.2500, 0.2500) and Os at (0.2500, 0.2500, 0.7500).

The total magnetization is 0.00 μB per cell. For the density of states at the Fermi level, the calculation gives 11.74 states/eV/cell. The value obtained for the energy of formation from the pure elements is -65 kJ/mol of formula units.

Below is crystalline DyTmLuOs at its relaxed geometry, with properties calculated at the GGA-PBE level.

The structure belongs to space group F-43m (No. 216); the cell edges are 7.1620, 7.1620 and 7.1620 Å and the angles 90.00°, 90.00° and 90.00°. The asymmetric unit holds Dy at (0.0000, 0.0000, 0.0000), Tm at (0.0000, 0.0000, 0.5000), Lu at (0.2500, 0.2500, 0.2500) and Os at (0.2500, 0.2500, 0.7500).

The total magnetization is 0.00 μB per cell. For the density of states at the Fermi level, the calculation gives 11.99 states/eV/cell. The value obtained for the energy of formation from the pure elements is 24 kJ/mol of formula units.

Below is crystalline DyLuZnOs at its relaxed geometry, with properties calculated at the GGA-PBE level.

The structure belongs to space group F-43m (No. 216); the cell edges are 6.8671, 6.8671 and 6.8671 Å and the angles 90.00°, 90.00° and 90.00°. The asymmetric unit holds Dy at (0.0000, 0.0000, 0.0000), Lu at (0.0000, 0.0000, 0.5000), Zn at (0.2500, 0.2500, 0.2500) and Os at (0.2500, 0.2500, 0.7500).

The total magnetization is 0.00 μB per cell. For the density of states at the Fermi level, the calculation gives 11.88 states/eV/cell. The value obtained for the energy of formation from the pure elements is -122 kJ/mol of formula units.

Below is crystalline DyLuP at its relaxed geometry, with properties calculated at the GGA-PBE level.

The structure belongs to space group P3m1 (No. 156); the cell edges are 3.8530, 3.8530 and 6.2474 Å and the angles 90.00°, 90.00° and 120.00°. The asymmetric unit holds Dy at (0.0000, 0.0000, 0.0000), Lu at (0.3333, 0.6667, 0.5034) and P at (0.6667, 0.3333, 0.2577).

The total magnetization is 0.06 μB per cell. For the density of states at the Fermi level, the calculation gives 2.86 states/eV/cell. The value obtained for the energy of formation from the pure elements is -275 kJ/mol of formula units.

Below is crystalline Dy2LuP at its relaxed geometry, with properties calculated at the GGA-PBE level.

The structure belongs to space group R-3m (No. 166, hexagonal axes); the cell edges are 3.7273, 3.7273 and 29.8178 Å and the angles 90.00°, 90.00° and 120.00°. The asymmetric unit holds Dy at (0.0000, 0.0000, 0.1121), Lu at (0.0000, 0.0000, 0.0000) and P at (0.0000, 0.0000, 0.5000).

The total magnetization is 0.01 μB per cell. For the density of states at the Fermi level, the calculation gives 15.40 states/eV/cell. The value obtained for the energy of formation from the pure elements is -182 kJ/mol of formula units.

Below is crystalline Dy2LuPa at its relaxed geometry, with properties calculated at the GGA-PBE level.

The structure belongs to space group P4/mmm (No. 123); the cell edges are 5.7584, 5.7584 and 3.4882 Å and the angles 90.00°, 90.00° and 90.00°. The asymmetric unit holds Dy at (0.0000, 0.5000, 0.0000), Lu at (0.0000, 0.0000, 0.5000) and Pa at (0.5000, 0.5000, 0.5000).

The total magnetization is 0.00 μB per cell. For the density of states at the Fermi level, the calculation gives 8.17 states/eV/cell. Its energy above the most stable polymorph in this dataset is 164 meV per atom. The value obtained for the energy of formation from the pure elements is 114 kJ/mol of formula units.

Below is crystalline Dy2LuPa at its relaxed geometry, with properties calculated at the GGA-PBE level.

The structure belongs to space group R-3m (No. 166, hexagonal axes); the cell edges are 3.3125, 3.3125 and 36.3400 Å and the angles 90.00°, 90.00° and 120.00°. The asymmetric unit holds Dy at (0.0000, 0.0000, 0.0880), Lu at (0.0000, 0.0000, 0.5000) and Pa at (0.0000, 0.0000, 0.0000).

The total magnetization is 0.00 μB per cell. For the density of states at the Fermi level, the calculation gives 17.00 states/eV/cell. Its energy above the most stable polymorph in this dataset is 138 meV per atom. The value obtained for the energy of formation from the pure elements is 104 kJ/mol of formula units.

Below is crystalline Dy2LuPa at its relaxed geometry, with properties calculated at the GGA-PBE level.

The structure belongs to space group Fm-3m (No. 225); the cell edges are 7.8116, 7.8116 and 7.8116 Å and the angles 90.00°, 90.00° and 90.00°. The asymmetric unit holds Dy at (0.2500, 0.2500, 0.2500), Lu at (0.0000, 0.0000, 0.0000) and Pa at (0.0000, 0.0000, 0.5000).

The total magnetization is 11.54 μB per cell. For the density of states at the Fermi level, the calculation gives 39.31 states/eV/cell. Its energy above the most stable polymorph in this dataset is 221 meV per atom. The value obtained for the energy of formation from the pure elements is 136 kJ/mol of formula units.

Below is crystalline Dy2LuPa at its relaxed geometry, with properties calculated at the GGA-PBE level.

The structure belongs to space group P4/mmm (No. 123); the cell edges are 3.3984, 3.3984 and 10.0875 Å and the angles 90.00°, 90.00° and 90.00°. The asymmetric unit holds Dy at (0.0000, 0.0000, 0.2366), Lu at (0.5000, 0.5000, 0.5000) and Pa at (0.5000, 0.5000, 0.0000).

The total magnetization is 0.01 μB per cell. For the density of states at the Fermi level, the calculation gives 5.97 states/eV/cell. Its energy above the most stable polymorph in this dataset is 0 meV per atom. The value obtained for the energy of formation from the pure elements is 50 kJ/mol of formula units.

Below is crystalline DyLuPuPa at its relaxed geometry, with properties calculated at the GGA-PBE level.

The structure belongs to space group F-43m (No. 216); the cell edges are 7.6234, 7.6234 and 7.6234 Å and the angles 90.00°, 90.00° and 90.00°. The asymmetric unit holds Dy at (0.0000, 0.0000, 0.0000), Lu at (0.2500, 0.2500, 0.7500), Pu at (0.0000, 0.0000, 0.5000) and Pa at (0.2500, 0.2500, 0.2500).

The total magnetization is 35.15 μB per cell. For the density of states at the Fermi level, the calculation gives 33.54 states/eV/cell. The value obtained for the energy of formation from the pure elements is 111 kJ/mol of formula units.

Below is crystalline DyLuScPa at its relaxed geometry, with properties calculated at the GGA-PBE level.

The structure belongs to space group F-43m (No. 216); the cell edges are 7.6221, 7.6221 and 7.6221 Å and the angles 90.00°, 90.00° and 90.00°. The asymmetric unit holds Dy at (0.0000, 0.0000, 0.0000), Lu at (0.2500, 0.2500, 0.2500), Sc at (0.0000, 0.0000, 0.5000) and Pa at (0.2500, 0.2500, 0.7500).

The total magnetization is 0.02 μB per cell. For the density of states at the Fermi level, the calculation gives 35.54 states/eV/cell. The value obtained for the energy of formation from the pure elements is 113 kJ/mol of formula units.

Below is crystalline DyLuPaSn at its relaxed geometry, with properties calculated at the GGA-PBE level.

The structure belongs to space group F-43m (No. 216); the cell edges are 7.4906, 7.4906 and 7.4906 Å and the angles 90.00°, 90.00° and 90.00°. The asymmetric unit holds Dy at (0.0000, 0.0000, 0.0000), Lu at (0.0000, 0.0000, 0.5000), Pa at (0.2500, 0.2500, 0.7500) and Sn at (0.2500, 0.2500, 0.2500).

The total magnetization is 5.46 μB per cell. For the density of states at the Fermi level, the calculation gives 27.71 states/eV/cell. The value obtained for the energy of formation from the pure elements is 11 kJ/mol of formula units.

Below is crystalline TbDyLuPa at its relaxed geometry, with properties calculated at the GGA-PBE level.

The structure belongs to space group F-43m (No. 216); the cell edges are 7.8248, 7.8248 and 7.8248 Å and the angles 90.00°, 90.00° and 90.00°. The asymmetric unit holds Tb at (0.0000, 0.0000, 0.0000), Dy at (0.0000, 0.0000, 0.5000), Lu at (0.2500, 0.2500, 0.2500) and Pa at (0.2500, 0.2500, 0.7500).

The total magnetization is 12.56 μB per cell. For the density of states at the Fermi level, the calculation gives 37.32 states/eV/cell. The value obtained for the energy of formation from the pure elements is 137 kJ/mol of formula units.

Below is crystalline DyLuZrPa at its relaxed geometry, with properties calculated at the GGA-PBE level.

The structure belongs to space group F-43m (No. 216); the cell edges are 7.5488, 7.5488 and 7.5488 Å and the angles 90.00°, 90.00° and 90.00°. The asymmetric unit holds Dy at (0.0000, 0.0000, 0.0000), Lu at (0.2500, 0.2500, 0.7500), Zr at (0.0000, 0.0000, 0.5000) and Pa at (0.2500, 0.2500, 0.2500).

The total magnetization is 1.98 μB per cell. For the density of states at the Fermi level, the calculation gives 44.13 states/eV/cell. The value obtained for the energy of formation from the pure elements is 116 kJ/mol of formula units.